8
Lattice="3.233 -5.613 0.000 3.233 5.613 0.000 -2.169 0.000 6.004" Properties=species:S:1:pos:R:3 comment="TbAlCl6, optimized geometry, DFT GGA-PBE" total_energy_ev_per_atom=-4.301 space_group="C2 (5)" pbc="T T T"
Al 3.233 3.748 0.000
Cl 4.564 -1.899 1.362
Cl 4.207 2.108 1.387
Cl 0.918 -0.207 1.392
Cl 3.379 -0.207 4.613
Cl 0.090 2.108 4.618
Cl -0.267 -1.899 4.643
Tb 3.233 -3.753 0.000